4
Lattice="5.7785 0.0625 -0.0564 4.8102 3.2026 -0.0564 1.6296 0.5025 4.6158" Properties=species:S:1:pos:R:3 comment="MnRhPb2 | Alexandria | PBE | relaxed" m_tot_mub_per_cell=4.11 spacegroup=Cm formation_energy_ev_per_atom=0.208 pbc="T T T"
Pb 9.3083 2.8703 3.1254
Pb 10.5004 3.2378 0.0939
Mn 2.6539 0.8183 1.1165
Rh 6.4535 1.9900 2.3057

=====

5
Lattice="-3.6857 -2.6186 -0.8237 2.2215 -3.6553 1.6803 -1.3568 0.7989 3.5316" Properties=species:S:1:pos:R:3 comment="VTe2N2 | Alexandria | PBE | relaxed" m_tot_mub_per_cell=1.33 spacegroup=P4/mmm e_form_raw_kcal_per_mol_atoms=33.12 pbc="T T T"
Te -1.8428 -1.3093 -0.4118
Te 1.1107 -1.8276 0.8402
N 0.0000 0.0000 0.0000
N -0.6784 0.3995 1.7658
V -1.4105 -2.7375 2.1942

=====

16
Lattice="5.5933 -3.2129 0.5688 -1.5679 -5.8268 2.3498 -2.4232 3.1594 -5.1066" Properties=species:S:1:pos:R:3 comment="Cr5B2P | Alexandria | PBE | relaxed" m_tot_mub_per_cell=0.00 spacegroup=I4/mcm formation_energy_ev_per_atom=-0.491 pbc="T T T"
B -2.0926 -1.6551 -2.2401
B 0.8631 -5.5447 -0.1295
B 3.6947 -4.2252 0.0521
B 0.7391 -0.3355 -2.0585
Cr 0.7144 -6.6475 1.7195
Cr -1.3429 0.3625 -2.0845
Cr 2.9451 -6.2427 -0.1035
Cr 2.0127 -4.5198 1.4593
Cr -0.4025 -4.1393 0.9097
Cr 1.8282 -3.7345 -0.9133
Cr 0.8877 0.7672 -3.9075
Cr 0.0000 0.0000 0.0000
Cr -0.2260 -2.1457 -1.2747
Cr 2.0047 -1.7410 -3.0977
P 1.0064 -2.2599 0.7297
P 3.0191 -6.7798 2.1890

=====

8
Lattice="6.5449 -0.1402 -1.8167 -2.6525 5.9837 -1.8202 0.0607 0.0960 8.8159" Properties=species:S:1:pos:R:3 comment="Ac6LaPr | Alexandria | PBE | relaxed" m_tot_mub_per_cell=0.00 spacegroup=Fmmm formation_energy_ev_per_atom=0.026 pbc="T T T"
La 1.9462 2.9217 -1.8184
Ac 4.7891 2.2113 4.3813
Ac -0.8361 3.7281 0.7978
Ac 0.1910 5.2730 4.3793
Ac 2.9516 4.4331 1.6861
Ac 3.7621 0.6664 0.7998
Ac 1.0015 1.5063 3.4930
Pr 0.0000 0.0000 0.0000

=====

4
Lattice="1.9077 0.0000 4.4634 -0.9539 1.6522 4.4634 -0.9539 -1.6522 4.4634" Properties=species:S:1:pos:R:3 comment="AgHN2 | Alexandria | PBE | relaxed" m_tot_mub_per_cell=0.00 spacegroup=R-3m total_energy_ev_per_atom=-4.38 pbc="T T T"
N 0.0000 0.0000 12.1329
N 0.0000 0.0000 1.2574
Ag 0.0000 0.0000 6.6951
H 0.0000 0.0000 0.0000

=====

18
Lattice="-3.8127 9.5533 2.1379 -4.2136 6.4515 7.1413 0.9382 8.8597 5.5677" Properties=species:S:1:pos:R:3 comment="Pm2MnGa3Cu12 | Alexandria | PBE | relaxed" m_tot_mub_per_cell=3.68 spacegroup=R-3m formation_energy_ev_per_atom=0.119 pbc="T T T"
Cu -4.5294 10.9183 6.4059
Cu -4.6661 12.9611 9.0846
Cu -2.5588 13.9462 8.4409
Cu -4.5021 14.2299 7.0379
Cu -4.4021 17.5020 12.3731
Cu -0.1251 6.9886 4.3225
Cu -2.5860 10.6345 7.8089
Cu -2.9021 5.6905 5.1707
Cu -6.9630 17.8759 10.5243
Cu -4.1860 19.1740 9.6761
Cu -2.4220 11.9034 5.7622
Cu -2.6860 7.3625 2.4737
Mn 0.0000 0.0000 0.0000
Pm -2.5152 8.8231 5.2684
Pm -4.5729 16.0413 9.5784
Ga -1.9064 4.7767 1.0689
Ga 0.4691 4.4298 2.7838
Ga -2.1068 3.2257 3.5706

=====

4
Lattice="5.0602 0.0000 0.0000 2.5301 4.3823 0.0000 2.5301 1.4608 4.1317" Properties=species:S:1:pos:R:3 comment="EuPuRhAu | Alexandria | PBE | relaxed" m_tot_mub_per_cell=1.54 spacegroup=F-43m formation_energy_ev_per_atom=-0.402 pbc="T T T"
Rh 2.5301 1.4608 1.0329
Pu 0.0000 0.0000 0.0000
Au 7.5904 4.3823 3.0988
Eu 5.0602 2.9215 2.0658

=====

12
Lattice="-4.3692 -1.0343 -0.0204 -1.2341 -4.4086 -6.2787 -0.5367 -7.5311 2.6771" Properties=species:S:1:pos:R:3 comment="Li5Pd2Pb5 | Alexandria | PBE | relaxed" m_tot_mub_per_cell=0.00 spacegroup=C2/m formation_energy_ev_per_atom=-0.283 pbc="T T T"
Li -3.7160 -3.7746 -0.9739
Li 0.0000 0.0000 0.0000
Li -2.4240 -9.1995 -2.6481
Li -0.9451 -5.7568 0.1712
Li -5.1949 -7.2173 -3.7932
Pb -2.5168 -8.8676 0.4108
Pb -3.0700 -6.4870 -1.8110
Pb -3.6232 -4.1064 -4.0328
Pb -4.5008 -10.1384 -4.3579
Pb -1.6392 -2.8356 0.7359
Pd -1.3076 -4.1805 -2.0896
Pd -4.8324 -8.7935 -1.5324

=====

4
Lattice="-4.7007 -0.6968 -0.2032 -3.3607 -2.4657 -2.2911 -0.7832 -3.6058 2.5523" Properties=species:S:1:pos:R:3 comment="Al2CuP | Alexandria | PBE | relaxed" m_tot_mub_per_cell=0.00 spacegroup=Cm formation_energy_ev_per_atom=0.034 pbc="T T T"
P -6.8367 -5.3028 0.1050
Al -2.1018 -1.8164 0.1900
Al -0.8832 -3.4897 2.3898
Cu -4.2285 -3.1494 -0.0455

=====

4
Lattice="3.3182 0.0000 0.0000 1.6591 2.8736 0.0000 1.6591 0.9579 10.5887" Properties=species:S:1:pos:R:3 comment="Tb2PaRh | Alexandria | PBE | relaxed" m_tot_mub_per_cell=0.00 spacegroup=R-3m formation_energy_ev_per_atom=0.027 pbc="T T T"
Pa 0.0000 0.0000 0.0000
Rh 3.3182 1.9158 5.2944
Tb 1.6591 0.9579 7.3462
Tb 4.9773 2.8736 3.2425

=====

3
Lattice="-1.2069 2.3899 2.4966 -0.4089 -3.5946 0.5594 6.0209 -0.2019 3.1039" Properties=species:S:1:pos:R:3 comment="CaAcO | Alexandria | PBE | relaxed" m_tot_mub_per_cell=0.00 spacegroup=P3m1 e_form_raw_kcal_per_mol_atoms=-37.21 pbc="T T T"
Ac 5.4549 -0.1829 2.8122
O 3.1115 -1.7267 3.1571
Ca 1.8596 0.3012 3.2946

=====

4
Lattice="-1.5290 4.1311 -1.8416 -4.1648 0.1799 -2.3276 -3.7313 2.2487 1.9534" Properties=species:S:1:pos:R:3 comment="LiErScTc | Alexandria | PBE | relaxed" m_tot_mub_per_cell=0.00 spacegroup=F-43m formation_energy_ev_per_atom=-0.079 pbc="T T T"
Tc -7.0688 4.9198 -1.6618
Sc 0.0000 0.0000 0.0000
Li -2.3563 1.6399 -0.5539
Er -4.7126 3.2799 -1.1079